This record from Alexandria describes a relaxed V2F9 crystal. The functional is PBE+U.

Lattice parameters (Å, degrees): 5.192 5.192 14.740 90.00 90.00 120.00
Sites, in units of the cell vectors:
V 0.000 0.000 0.151
V 0.000 0.000 0.349
V 0.000 0.000 0.651
V 0.000 0.000 0.849
F 0.000 0.265 0.250
F 0.000 0.299 0.596
F 0.000 0.299 0.904
F 0.000 0.701 0.096
F 0.000 0.701 0.404
F 0.000 0.735 0.750
F 0.265 0.000 0.250
F 0.265 0.265 0.750
F 0.299 0.000 0.596
F 0.299 0.000 0.904
F 0.299 0.299 0.096
F 0.299 0.299 0.404
F 0.701 0.000 0.096
F 0.701 0.000 0.404
F 0.701 0.701 0.596
F 0.701 0.701 0.904
F 0.735 0.000 0.750
F 0.735 0.735 0.250

Calculated values
Magnetic moment (μB/atom): 0.091
Space-group type: No. 193
Crystal system: hexagonal
Total energy (eV per atom): -5.37